# 1
PBE-GGA MgRhSe, optimized geometry; space group = P-6m2, No. 187; E_form (uncorrected) = -1.27 eV per formula unit; final energy = -4.567 eV per atom
1.0
4.2281 0.0000 0.0000
-2.1141 3.6617 0.0000
0.0000 0.0000 3.4398
Mg Rh Se
1 1 1
Direct
0.0000 0.0000 0.0000 Mg
0.6667 0.3333 0.5000 Rh
0.3333 0.6667 0.5000 Se

***

# 2
PBE-GGA MgTl2RhSe, optimized geometry; space group = P4/mmm, No. 123; E_form (uncorrected) = 2.77 eV per formula unit; final energy = -2.879 eV per atom
1.0
5.4112 0.0000 0.0000
0.0000 4.7183 0.0000
0.0000 0.0000 5.4112
Tl Rh Mg Se
2 1 1 1
Direct
0.0000 0.0000 0.5000 Tl
0.5000 0.0000 0.0000 Tl
0.0000 0.5000 0.0000 Rh
0.0000 0.0000 0.0000 Mg
0.5000 0.5000 0.5000 Se